First-principles (GGA-PBE) data for an optimized crystal structure of CsBaInS3, as listed in the Alexandria database.

ΔE_f (raw) = -1157 meV/atom
Crystal system = monoclinic

Geometry as CIF:
```
data_CsBaInS3
_cell_length_a 16.966
_cell_length_b 5.302
_cell_length_c 9.337
_cell_angle_alpha 90.00
_cell_angle_beta 104.49
_cell_angle_gamma 90.00
_symmetry_space_group_name_H-M 'C 1 2/m 1'
_symmetry_Int_Tables_number 12
loop_
_symmetry_equiv_pos_as_xyz
'x,y,z'
'-x,-y,-z'
'-x,y,-z'
'x,-y,z'
'x+1/2,y+1/2,z'
'-x+1/2,-y+1/2,-z'
'-x+1/2,y+1/2,-z'
'x+1/2,-y+1/2,z'
loop_
_atom_site_label
_atom_site_type_symbol
_atom_site_fract_x
_atom_site_fract_y
_atom_site_fract_z
Cs1 Cs 0.149 0.000 0.066
Ba1 Ba 0.148 0.000 0.572
In1 In 0.007 0.500 0.279
S1 S 0.004 0.000 0.283
S2 S 0.141 0.500 0.784
S3 S 0.157 0.500 0.351
```

***

First-principles (GGA-PBE) data for an optimized crystal structure of Al2MoRu, as listed in the Alexandria database.

Distance to the lowest polymorph of the same formula = 87 meV per atom
Energy of formation from the pure elements = -0.29 eV per atom
Crystal system = monoclinic

Geometry as CIF:
```
data_Al2MoRu
_cell_length_a 9.491
_cell_length_b 2.948
_cell_length_c 4.436
_cell_angle_alpha 90.00
_cell_angle_beta 108.38
_cell_angle_gamma 90.00
_symmetry_space_group_name_H-M 'C 1 m 1'
_symmetry_Int_Tables_number 8
loop_
_symmetry_equiv_pos_as_xyz
'x,y,z'
'x,-y,z'
'x+1/2,y+1/2,z'
'x+1/2,-y+1/2,z'
loop_
_atom_site_label
_atom_site_type_symbol
_atom_site_fract_x
_atom_site_fract_y
_atom_site_fract_z
Al1 Al 0.000 0.000 0.000
Al2 Al 0.230 0.000 0.695
Mo1 Mo 0.253 0.500 0.210
Ru1 Ru 0.492 0.000 0.501
```

***

First-principles (GGA-PBE) data for an optimized crystal structure of Cd2In3Pb8, as listed in the Alexandria database.

Distance to the lowest polymorph of the same formula = 0 meV per atom
Energy of formation from the pure elements = 0.04 eV per atom
Crystal system = monoclinic

Geometry as CIF:
```
data_Cd2In3Pb8
_cell_length_a 7.784
_cell_length_b 5.014
_cell_length_c 10.378
_cell_angle_alpha 90.00
_cell_angle_beta 104.39
_cell_angle_gamma 90.00
_symmetry_space_group_name_H-M 'P 1 2/m 1'
_symmetry_Int_Tables_number 10
loop_
_symmetry_equiv_pos_as_xyz
'x,y,z'
'-x,-y,-z'
'-x,y,-z'
'x,-y,z'
loop_
_atom_site_label
_atom_site_type_symbol
_atom_site_fract_x
_atom_site_fract_y
_atom_site_fract_z
Cd1 Cd 0.191 0.000 0.074
In1 In 0.231 0.500 0.576
In2 In 0.500 0.000 0.500
Pb1 Pb 0.050 0.000 0.354
Pb2 Pb 0.122 0.500 0.876
Pb3 Pb 0.331 0.500 0.273
Pb4 Pb 0.394 0.000 0.816
```

***

First-principles (GGA-PBE) data for an optimized crystal structure of Cs2H6RhPb, as listed in the Alexandria database.

Raw total energy = -3.398 eV/atom
Crystal system = trigonal

Geometry as CIF:
```
data_Cs2H6RhPb
_cell_length_a 6.3457
_cell_length_b 6.3457
_cell_length_c 6.2671
_cell_angle_alpha 90.00
_cell_angle_beta 90.00
_cell_angle_gamma 120.00
_symmetry_space_group_name_H-M 'P -3 m 1'
_symmetry_Int_Tables_number 164
_symmetry_space_group_name_Hall '-P 3 2"'
loop_
_atom_site_label
_atom_site_type_symbol
_atom_site_fract_x
_atom_site_fract_y
_atom_site_fract_z
Cs1 Cs 0.3333 0.6667 0.3214
H1 H 0.1226 0.2452 0.6648
Rh1 Rh 0.0000 0.0000 0.5000
Pb1 Pb 0.0000 0.0000 0.0000
```